The following is a PBE calculation of an optimized crystal structure of Be2AlSi, from Alexandria.

Properties
**Energy relative to the elements, uncorrected**: 208.5 meV per atom
**N(E_F)**: 1.25 states/eV per cell
**Crystal system**: triclinic
**Symmetry**: P-1 (2)

Cell lengths 3.4140, 5.7754, 5.8090 Å; angles 72.61, 73.29, 73.14 degrees
Fractional positions:
Be  0.1131  0.3217  0.4548
Be  0.3159  0.9471  0.4184
Be  0.6841  0.0529  0.5816
Be  0.8869  0.6783  0.5452
Al  0.1668  0.8032  0.8653
Al  0.8332  0.1968  0.1347
Si  0.4394  0.3649  0.7626
Si  0.5606  0.6351  0.2374